! V2TcSnO8 GGA+U relaxed; values from VASP
! **Total energy**: -7.47 eV/atom
! **N(E_F)**: 0.71 states/eV per cell
! **SG**: No. 65
&SYSTEM
  ibrav = 0, nat = 12, ntyp = 4
/
ATOMIC_SPECIES
O 16.00 O.upf
V 50.94 V.upf
Sn 118.71 Sn.upf
Tc 98.00 Tc.upf
CELL_PARAMETERS angstrom
4.632 -0.018 -0.003
0.019 4.629 -0.005
0.004 0.007 6.251
ATOMIC_POSITIONS angstrom
O 3.222 3.198 -0.006
O 3.697 0.932 1.499
O 1.429 1.412 -0.003
O 3.194 3.172 3.120
O 3.699 0.935 4.745
O 0.959 3.686 4.744
O 1.462 1.446 3.123
O 0.957 3.682 1.498
V 2.329 2.310 4.704
V 2.327 2.307 1.539
Sn 0.002 0.004 3.126
Tc 0.000 0.000 0.000